No. 1
# SmYHo

A geometry-optimized SmYHo structure (GGA-PBE, Alexandria via LeMat-Bulk).

Output
Formation energy from the elements: 0.06 eV/atom
Polymorph energy (0 for the lowest one): 54 meV per atom
V: 96.8 Å³/f.u.
ρ: 6.934 g/cm3

```
SmYHo
1.0
5.630 0.000 0.000
-2.815 4.875 0.000
0.000 0.000 3.527
Sm Y Ho
1 1 1
direct
0.000 0.000 0.000 Sm
0.667 0.333 0.500 Y
0.333 0.667 0.000 Ho
```



No. 2
# NaZn2WN4

A geometry-optimized NaZn2WN4 structure (GGA-PBE, Alexandria via LeMat-Bulk).

Output
Formation energy (no corrections): -0.1224 eV/atom
V: 110.2 Å³/f.u.
ρ: 5.931 g/cm3

```
NaZn2WN4
1.0
7.053 0.000 0.000
0.000 5.709 0.000
0.000 0.000 5.475
Na Zn W N
2 4 2 8
direct
0.000 0.179 0.000 Na
0.500 0.821 0.500 Na
0.246 0.329 0.509 Zn
0.254 0.671 0.009 Zn
0.746 0.671 0.009 Zn
0.754 0.329 0.509 Zn
0.000 0.812 0.513 W
0.500 0.188 0.013 W
0.000 0.141 0.451 N
0.000 0.767 0.854 N
0.210 0.662 0.377 N
0.290 0.338 0.877 N
0.500 0.233 0.354 N
0.500 0.859 0.951 N
0.710 0.338 0.877 N
0.790 0.662 0.377 N
```



No. 3
# TbMgTl3

A geometry-optimized TbMgTl3 structure (GGA-PBE, Alexandria via LeMat-Bulk).

Output
Formation energy from the elements: -0.08 eV/atom
V: 136.7 Å³/f.u.
ρ: 9.675 g/cm3

```
TbMgTl3
1.0
4.673 0.000 0.000
0.000 7.361 0.000
0.000 0.000 7.947
Tb Mg Tl
2 2 6
direct
0.250 0.250 0.207 Tb
0.750 0.750 0.793 Tb
0.250 0.750 0.447 Mg
0.750 0.250 0.553 Mg
0.250 0.037 0.708 Tl
0.250 0.463 0.708 Tl
0.250 0.750 0.072 Tl
0.750 0.250 0.928 Tl
0.750 0.537 0.292 Tl
0.750 0.963 0.292 Tl
```